Entry from Alexandria via LeMat-Bulk: a relaxed MgC2S2O2F2 crystal (PBE).

Geometry as POSCAR:
```
MgC2S2O2F2
1.0
4.2162 0.0000 0.0000
-1.9666 4.8610 0.0000
-1.5073 -0.8372 7.6211
Mg C S O F
1 2 2 2 2
direct
0.0000 0.0000 0.0000
0.3200 0.0998 0.7909
0.6800 0.9002 0.2091
0.3710 0.6212 0.2593
0.6290 0.3788 0.7407
0.2715 0.3813 0.1190
0.7285 0.6187 0.8810
0.2358 0.8925 0.6559
0.7642 0.1075 0.3441
```

Summary:
total magnetization	0.000	μB/f.u.
raw formation energy	-579	meV per atom
DOS(E_F)	0.000	states/eV per atom
crystal system	triclinic

***

Entry from Alexandria via LeMat-Bulk: a relaxed KNbBr3 crystal (PBE).

Geometry as POSCAR:
```
KNbBr3
1.0
5.4618 0.0000 0.0000
0.0000 5.4618 0.0000
0.0000 0.0000 5.4618
K Nb Br
1 1 3
direct
0.0000 0.0000 0.0000
0.5000 0.5000 0.5000
0.0000 0.5000 0.5000
0.5000 0.0000 0.5000
0.5000 0.5000 0.0000
```

Summary:
total magnetization	3.001	μB/f.u.
raw formation energy	-830	meV per atom
DOS(E_F)	0.525	states/eV per atom
energy above the lowest structure with this stoichiometry	0.2128	eV/atom
crystal system	cubic

***

Entry from Alexandria via LeMat-Bulk: a relaxed MnPtSN2 crystal (PBE).

Geometry as POSCAR:
```
MnPtSN2
1.0
3.6925 0.0000 0.0000
0.0000 3.6925 0.0000
0.0000 0.0000 8.2285
Mn Pt S N
1 1 1 2
direct
0.0000 0.0000 0.0000
0.5000 0.5000 0.5000
0.5000 0.5000 0.0000
0.0000 0.5000 0.5000
0.5000 0.0000 0.5000
```

Summary:
total magnetization	4.915	μB/f.u.
raw formation energy	976	meV per atom
DOS(E_F)	0.513	states/eV per atom
energy above the lowest structure with this stoichiometry	0.2370	eV/atom
crystal system	tetragonal

***

Entry from Alexandria via LeMat-Bulk: a relaxed PmInN crystal (PBE).

Geometry as POSCAR:
```
PmInN
1.0
5.0694 0.0000 0.0000
0.0000 5.0694 0.0000
-0.0167 0.0000 9.7290
Pm In N
4 4 4
direct
0.2504 0.0000 0.1282
0.2496 0.5000 0.8718
0.7496 0.0000 0.8718
0.7504 0.5000 0.1282
0.2495 0.0000 0.6113
0.2505 0.5000 0.3887
0.7495 0.5000 0.6113
0.7505 0.0000 0.3887
0.2493 0.0000 0.8867
0.2507 0.5000 0.1133
0.7493 0.5000 0.8867
0.7507 0.0000 0.1133
```

Summary:
total magnetization	0.000	μB/f.u.
raw formation energy	-815	meV per atom
DOS(E_F)	0.215	states/eV per atom
energy above the lowest structure with this stoichiometry	0.0000	eV/atom
crystal system	monoclinic

***

Entry from Alexandria via LeMat-Bulk: a relaxed GaAsAuBr2 crystal (PBE).

Geometry as POSCAR:
```
GaAsAuBr2
1.0
5.5525 0.0000 0.0000
0.0000 5.5525 0.0000
0.0000 0.0000 4.9788
Ga As Au Br
1 1 1 2
direct
0.0000 0.0000 0.0000
0.5000 0.5000 0.0000
0.5000 0.5000 0.5000
0.0000 0.5000 0.5000
0.5000 0.0000 0.5000
```

Summary:
total magnetization	1.696	μB/f.u.
raw formation energy	234	meV per atom
DOS(E_F)	0.415	states/eV per atom
energy above the lowest structure with this stoichiometry	0.0000	eV/atom
crystal system	tetragonal

***

Entry from Alexandria via LeMat-Bulk: a relaxed Mg2Sc2B crystal (PBE).

Geometry as POSCAR:
```
Mg2Sc2B
1.0
3.5137 0.0000 0.0000
0.0000 3.5137 0.0000
0.0000 0.0000 16.4957
Mg Sc B
4 4 2
direct
0.0000 0.5000 0.2500
0.0000 0.5000 0.7500
0.5000 0.0000 0.2500
0.5000 0.0000 0.7500
0.0000 0.0000 0.0804
0.0000 0.0000 0.9196
0.5000 0.5000 0.4196
0.5000 0.5000 0.5804
0.0000 0.0000 0.5000
0.5000 0.5000 0.0000
```

Summary:
total magnetization	0.000	μB/f.u.
DOS(E_F)	1.177	states/eV per atom
formation energy from the elements	0.6054	eV per atom
energy above the lowest structure with this stoichiometry	0.2822	eV/atom
crystal system	tetragonal

***

Entry from Alexandria via LeMat-Bulk: a relaxed Cs2Rb12Na crystal (PBE).

Geometry as POSCAR:
```
Cs2Rb12Na
1.0
9.4722 0.0000 0.0000
0.0000 9.4722 0.0000
0.0000 0.0000 32.6657
Cs Rb Na
4 24 2
direct
0.2500 0.7500 0.2418
0.2500 0.7500 0.7582
0.7500 0.2500 0.2418
0.7500 0.2500 0.7582
0.9999 0.0001 0.4217
0.0001 0.9999 0.5783
0.0001 0.5001 0.4217
0.9999 0.4999 0.5783
0.0746 0.5746 0.0663
0.0746 0.9254 0.9337
0.2500 0.2500 0.1706
0.2500 0.2500 0.3124
0.2500 0.2500 0.6876
0.2500 0.2500 0.8294
0.4254 0.5746 0.9337
0.4254 0.9254 0.0663
0.4999 0.9999 0.4217
0.5001 0.0001 0.5783
0.5001 0.4999 0.4217
0.4999 0.5001 0.5783
0.5746 0.0746 0.9337
0.5746 0.4254 0.0663
0.7500 0.7500 0.1706
0.7500 0.7500 0.3124
0.7500 0.7500 0.6876
0.7500 0.7500 0.8294
0.9254 0.0746 0.0663
0.9254 0.4254 0.9337
0.2500 0.7500 0.5000
0.7500 0.2500 0.5000
```

Summary:
total magnetization	0.000	μB/f.u.
DOS(E_F)	0.852	states/eV per atom
formation energy from the elements	0.0544	eV per atom
crystal system	tetragonal

***

Entry from Alexandria via LeMat-Bulk: a relaxed Li5BeSO2 crystal (PBE).

Geometry as POSCAR:
```
Li5BeSO2
1.0
3.9429 0.0000 0.0000
0.0000 3.9429 0.0000
0.0000 0.0000 7.0624
Li Be S O
5 1 1 2
direct
0.0000 0.0000 0.0000
0.0000 0.5000 0.2408
0.0000 0.5000 0.7592
0.5000 0.0000 0.2408
0.5000 0.0000 0.7592
0.0000 0.0000 0.5000
0.5000 0.5000 0.0000
0.0000 0.0000 0.2899
0.0000 0.0000 0.7101
```

Summary:
total magnetization	0.090	μB/f.u.
raw formation energy	-1554	meV per atom
DOS(E_F)	0.202	states/eV per atom
crystal system	tetragonal

***

Entry from Alexandria via LeMat-Bulk: a relaxed TmCdIn3 crystal (PBE).

Geometry as POSCAR:
```
TmCdIn3
1.0
4.6831 -5.5139 0.0000
4.6831 5.5139 0.0000
0.0000 0.0000 5.6484
Tm Cd In
2 2 6
direct
0.2356 0.7644 0.7500
0.7644 0.2356 0.2500
0.0520 0.9480 0.2500
0.9480 0.0520 0.7500
0.1246 0.5283 0.2500
0.4717 0.8754 0.2500
0.5000 0.5000 0.0000
0.5000 0.5000 0.5000
0.5283 0.1246 0.7500
0.8754 0.4717 0.7500
```

Summary:
total magnetization	0.000	μB/f.u.
DOS(E_F)	0.549	states/eV per atom
formation energy from the elements	-0.0279	eV per atom
crystal system	orthorhombic

***

Entry from Alexandria via LeMat-Bulk: a relaxed Nd3Dy2Bi3 crystal (PBE).

Geometry as POSCAR:
```
Nd3Dy2Bi3
1.0
2.2676 -7.1341 0.0000
2.2676 7.1341 0.0000
0.0000 0.0000 16.0404
Nd Dy Bi
6 4 6
direct
0.0463 0.9537 0.6164
0.0463 0.9537 0.8836
0.3568 0.6432 0.7500
0.6432 0.3568 0.2500
0.9537 0.0463 0.1164
0.9537 0.0463 0.3836
0.2365 0.7635 0.0979
0.2365 0.7635 0.4021
0.7635 0.2365 0.5979
0.7635 0.2365 0.9021
0.3788 0.6212 0.2500
0.3929 0.6071 0.5387
0.3929 0.6071 0.9613
0.6071 0.3929 0.0387
0.6071 0.3929 0.4613
0.6212 0.3788 0.7500
```

Summary:
total magnetization	0.456	μB/f.u.
DOS(E_F)	1.301	states/eV per atom
formation energy from the elements	-0.6022	eV per atom
crystal system	orthorhombic

***

Entry from Alexandria via LeMat-Bulk: a relaxed V3Fe2Ru2 crystal (PBE).

Geometry as POSCAR:
```
V3Fe2Ru2
1.0
2.0840 1.2032 6.0206
-2.0840 1.2032 6.0206
0.0000 -2.4064 6.0206
V Fe Ru
3 2 2
direct
0.0000 0.0000 0.0000
0.4328 0.4328 0.4328
0.5672 0.5672 0.5672
0.1403 0.1403 0.1403
0.8597 0.8597 0.8597
0.2867 0.2867 0.2867
0.7133 0.7133 0.7133
```

Summary:
total magnetization	3.077	μB/f.u.
DOS(E_F)	1.084	states/eV per atom
formation energy from the elements	-0.1543	eV per atom
crystal system	trigonal

***

Entry from Alexandria via LeMat-Bulk: a relaxed Al2SbCl crystal (PBE).

Geometry as POSCAR:
```
Al2SbCl
1.0
6.9807 0.0000 0.0000
0.0000 6.9807 0.0000
0.0000 0.0000 6.9807
Al Sb Cl
8 4 4
direct
0.2500 0.2500 0.2500
0.2500 0.2500 0.7500
0.2500 0.7500 0.2500
0.2500 0.7500 0.7500
0.7500 0.2500 0.2500
0.7500 0.2500 0.7500
0.7500 0.7500 0.2500
0.7500 0.7500 0.7500
0.0000 0.0000 0.0000
0.0000 0.5000 0.5000
0.5000 0.0000 0.5000
0.5000 0.5000 0.0000
0.0000 0.0000 0.5000
0.0000 0.5000 0.0000
0.5000 0.0000 0.0000
0.5000 0.5000 0.5000
```

Summary:
total magnetization	0.000	μB/f.u.
raw formation energy	-63	meV per atom
DOS(E_F)	0.193	states/eV per atom
energy above the lowest structure with this stoichiometry	0.2028	eV/atom
crystal system	cubic

***

Entry from Alexandria via LeMat-Bulk: a relaxed Ba4Mg3Ga crystal (PBE).

Geometry as POSCAR:
```
Ba4Mg3Ga
1.0
4.2178 0.0000 0.0000
0.0000 4.2178 0.0000
0.0000 0.0000 17.7588
Ba Mg Ga
4 3 1
direct
0.0000 0.0000 0.1110
0.0000 0.0000 0.3702
0.0000 0.0000 0.6298
0.0000 0.0000 0.8890
0.5000 0.5000 0.2434
0.5000 0.5000 0.5000
0.5000 0.5000 0.7566
0.5000 0.5000 0.0000
```

Summary:
total magnetization	0.000	μB/f.u.
DOS(E_F)	0.590	states/eV per atom
formation energy from the elements	-0.1203	eV per atom
crystal system	tetragonal

***

Entry from Alexandria via LeMat-Bulk: a relaxed LiCdAg4 crystal (PBE).

Geometry as POSCAR:
```
LiCdAg4
1.0
3.3156 0.0000 0.0000
0.0000 3.3156 0.0000
0.0000 0.0000 9.7178
Li Cd Ag
1 1 4
direct
0.0000 0.0000 0.0000
0.5000 0.5000 0.5000
0.0000 0.0000 0.3209
0.0000 0.0000 0.6791
0.5000 0.5000 0.1491
0.5000 0.5000 0.8509
```

Summary:
total magnetization	0.000	μB/f.u.
DOS(E_F)	0.090	states/eV per atom
formation energy from the elements	-0.0767	eV per atom
energy above the lowest structure with this stoichiometry	0.0000	eV/atom
crystal system	tetragonal

***

Entry from Alexandria via LeMat-Bulk: a relaxed CaErRuRh crystal (PBE).

Geometry as POSCAR:
```
CaErRuRh
1.0
6.7768 0.0000 0.0000
0.0000 6.7768 0.0000
0.0000 0.0000 6.7768
Ca Er Ru Rh
4 4 4 4
direct
0.0000 0.0000 0.0000
0.0000 0.5000 0.5000
0.5000 0.0000 0.5000
0.5000 0.5000 0.0000
0.0000 0.0000 0.5000
0.0000 0.5000 0.0000
0.5000 0.0000 0.0000
0.5000 0.5000 0.5000
0.2500 0.2500 0.7500
0.2500 0.7500 0.2500
0.7500 0.2500 0.2500
0.7500 0.7500 0.7500
0.2500 0.2500 0.2500
0.2500 0.7500 0.7500
0.7500 0.2500 0.7500
0.7500 0.7500 0.2500
```

Summary:
total magnetization	0.000	μB/f.u.
DOS(E_F)	0.915	states/eV per atom
formation energy from the elements	-0.2709	eV per atom
crystal system	cubic

***

Entry from Alexandria via LeMat-Bulk: a relaxed ZnIr2PdO crystal (PBE).

Geometry as POSCAR:
```
ZnIr2PdO
1.0
4.6026 0.0000 0.0000
0.0000 4.6026 0.0000
0.0000 0.0000 4.6236
Zn Ir Pd O
1 2 1 1
direct
0.0000 0.0000 0.0000
0.0000 0.5000 0.0000
0.5000 0.0000 0.0000
0.0000 0.0000 0.5000
0.5000 0.5000 0.5000
```

Summary:
total magnetization	4.228	μB/f.u.
raw formation energy	1925	meV per atom
DOS(E_F)	1.250	states/eV per atom
crystal system	tetragonal

***

Entry from Alexandria via LeMat-Bulk: a relaxed BaZnIr2 crystal (PBE).

Geometry as POSCAR:
```
BaZnIr2
1.0
3.1199 0.0000 0.0000
0.0000 4.9249 0.0000
0.0000 0.0000 5.1526
Ba Zn Ir
1 1 2
direct
0.0000 0.0000 0.0000
0.5000 0.0000 0.5000
0.0000 0.5000 0.5000
0.5000 0.5000 0.0000
```

Summary:
total magnetization	0.000	μB/f.u.
DOS(E_F)	0.854	states/eV per atom
formation energy from the elements	0.6442	eV per atom
crystal system	orthorhombic

***

Entry from Alexandria via LeMat-Bulk: a relaxed Ca2MgIn6 crystal (PBE).

Geometry as POSCAR:
```
Ca2MgIn6
1.0
8.8808 0.0000 0.0000
-4.4404 7.6910 0.0000
0.0000 0.0000 3.4812
Ca Mg In
2 1 6
direct
0.3333 0.6667 0.0000
0.6667 0.3333 0.0000
0.0000 0.0000 0.0000
0.0000 0.3297 0.5000
0.0000 0.6703 0.5000
0.3297 0.0000 0.5000
0.3297 0.3297 0.5000
0.6703 0.0000 0.5000
0.6703 0.6703 0.5000
```

Summary:
total magnetization	0.000	μB/f.u.
DOS(E_F)	0.521	states/eV per atom
formation energy from the elements	-0.2378	eV per atom
energy above the lowest structure with this stoichiometry	0.0318	eV/atom
crystal system	hexagonal